Entry 1:
VASP calculation (PBE-GGA) on an optimized crystal structure of BeSi2P.

It has space group Cmm2 (No. 35), with a = 3.408 Å, b = 3.807 Å, c = 8.403 Å, α = 90.00°, β = 90.00° and γ = 90.00°. The inequivalent atoms are Be at (0.000, 0.000, 0.000), Si at (0.000, 0.000, 0.537), Si at (0.000, 0.500, 0.793) and P at (0.000, 0.500, 0.193).

The value obtained for the distance to the lowest polymorph of the same formula is 1.20 eV per formula unit. The uncorrected formation energy is 435 meV per atom. Its crystal system is orthorhombic. The value obtained for the density of states at the Fermi level is 0.20 states/eV per atom. The value obtained for the total moment is 0.000 μB per cell.

***

Entry 2:
VASP calculation (PBE-GGA) on an optimized crystal structure of Be2SiP.

It has space group P1 (No. 1), with a = 3.790 Å, b = 5.243 Å, c = 5.884 Å, α = 101.87°, β = 90.64° and γ = 110.47°. The inequivalent atoms are Be at (0.000, 0.000, 0.000), Be at (0.153, 0.699, 0.472), Be at (0.311, 0.509, 0.735), Be at (0.652, 0.792, 0.248), Si at (0.043, 0.583, 0.072), Si at (0.703, 0.306, 0.574), P at (0.591, 0.180, 0.163) and P at (0.740, 0.883, 0.638).

The value obtained for the distance to the lowest polymorph of the same formula is 0.17 eV per formula unit. The uncorrected formation energy is 70 meV per atom. Its crystal system is triclinic. The value obtained for the density of states at the Fermi level is 0.07 states/eV per atom. The value obtained for the total moment is 0.000 μB per cell.

***

Entry 3:
VASP calculation (PBE-GGA) on an optimized crystal structure of Be2SiP.

It has space group Pmm2 (No. 25), with a = 2.416 Å, b = 3.474 Å, c = 6.218 Å, α = 90.00°, β = 90.00° and γ = 90.00°. The inequivalent atoms are Be at (0.000, 0.000, 0.000), Be at (0.500, 0.500, 0.198), Si at (0.500, 0.500, 0.817) and P at (0.000, 0.000, 0.362).

The value obtained for the distance to the lowest polymorph of the same formula is 0.94 eV per formula unit. The uncorrected formation energy is 262 meV per atom. Its crystal system is orthorhombic. The value obtained for the density of states at the Fermi level is 0.22 states/eV per atom. The value obtained for the total moment is 0.000 μB per cell.

***

Entry 4:
VASP calculation (PBE-GGA) on an optimized crystal structure of BeSiP.

It has space group P1 (No. 1), with a = 3.741 Å, b = 4.774 Å, c = 5.589 Å, α = 102.81°, β = 95.15° and γ = 99.20°. The inequivalent atoms are Be at (0.000, 0.000, 0.000), Be at (0.367, 0.351, 0.746), Si at (0.031, 0.361, 0.343), Si at (0.603, 0.672, 0.373), P at (0.453, 0.762, 0.999) and P at (0.801, 0.122, 0.647).

The value obtained for the distance to the lowest polymorph of the same formula is 0.27 eV per formula unit. The uncorrected formation energy is -68 meV per atom. Its crystal system is triclinic. The value obtained for the total moment is 0.000 μB per cell.

***

Entry 5:
VASP calculation (PBE-GGA) on an optimized crystal structure of BeSi2P.

It has space group Pmmm (No. 47), with a = 2.476 Å, b = 3.426 Å, c = 6.284 Å, α = 90.00°, β = 90.00° and γ = 90.00°. The inequivalent atoms are Be at (0.000, 0.000, 0.000), Si at (0.500, 0.500, 0.211) and P at (0.500, 0.000, 0.500).

The value obtained for the distance to the lowest polymorph of the same formula is 0.63 eV per formula unit. The uncorrected formation energy is 291 meV per atom. Its crystal system is orthorhombic. The value obtained for the density of states at the Fermi level is 0.37 states/eV per atom. The value obtained for the total moment is 0.000 μB per cell.

***

Entry 6:
VASP calculation (PBE-GGA) on an optimized crystal structure of Be2SiP.

It has space group Cmmm (No. 65), with a = 3.312 Å, b = 4.145 Å, c = 6.745 Å, α = 90.00°, β = 90.00° and γ = 90.00°. The inequivalent atoms are Be at (0.000, 0.000, 0.245), Si at (0.000, 0.500, 0.000) and P at (0.000, 0.500, 0.500).

The value obtained for the distance to the lowest polymorph of the same formula is 1.70 eV per formula unit. The uncorrected formation energy is 451 meV per atom. Its crystal system is orthorhombic. The value obtained for the density of states at the Fermi level is 0.20 states/eV per atom. The value obtained for the total moment is 0.000 μB per cell.

***

Entry 7:
VASP calculation (PBE-GGA) on an optimized crystal structure of BeSiP.

It has space group P3m1 (No. 156), with a = 2.6251 Å, b = 2.6251 Å, c = 7.1741 Å, α = 90.00°, β = 90.00° and γ = 120.00°. The inequivalent atoms are Be at (0.0000, 0.0000, 0.0000), Si at (0.3333, 0.6667, 0.7235) and P at (0.6667, 0.3333, 0.2419).

The value obtained for the distance to the lowest polymorph of the same formula is 1.87 eV per formula unit. The uncorrected formation energy is 465 meV per atom. Its crystal system is trigonal. The value obtained for the density of states at the Fermi level is 0.80 states/eV per atom. The value obtained for the total moment is 0.000 μB per cell.

***

Entry 8:
VASP calculation (PBE-GGA) on an optimized crystal structure of BeSi2P.

It has space group Imm2 (No. 44), with a = 3.301 Å, b = 3.398 Å, c = 9.957 Å, α = 90.00°, β = 90.00° and γ = 90.00°. The inequivalent atoms are Be at (0.000, 0.000, 0.000), Si at (0.000, 0.000, 0.523), Si at (0.000, 0.500, 0.701) and P at (0.000, 0.500, 0.343).

The value obtained for the distance to the lowest polymorph of the same formula is 0.90 eV per formula unit. The uncorrected formation energy is 359 meV per atom. Its crystal system is orthorhombic. The value obtained for the density of states at the Fermi level is 0.31 states/eV per atom. The value obtained for the total moment is 0.000 μB per cell.